{"formula": "Tl2HgAu", "functional": "PBEsol", "state": "optimized geometry", "sg": "R3m", "formation_energy_ev_per_atom": 0.042, "cell": [[3.601, 0.000, 0.000], [1.800, 3.118, 0.000], [1.800, 1.039, 8.854]], "species": ["Hg", "Tl", "Tl", "Au"], "frac_coords": [[0.241, 0.241, 0.276], [0.995, 0.995, 0.016], [0.762, 0.762, 0.715], [0.503, 0.503, 0.492]]}

=====

{"formula": "Tm5NiPb3", "functional": "PBEsol", "state": "optimized geometry", "sg": "P6_3/mcm", "formation_energy_ev_per_atom": -0.546, "cell": [[-5.267, 3.561, -1.268], [-2.453, -5.860, -6.266], [-2.746, -1.064, 8.423]], "species": ["Tm", "Tm", "Tm", "Tm", "Tm", "Tm", "Tm", "Tm", "Tm", "Tm", "Pb", "Pb", "Pb", "Pb", "Pb", "Pb", "Ni", "Ni"], "frac_coords": [[0.750, 0.239, 0.000], [0.750, 0.761, 0.761], [0.500, 0.333, 0.667], [0.250, 0.239, 0.239], [0.000, 0.333, 0.667], [0.250, 0.761, 0.000], [0.250, 0.000, 0.761], [0.000, 0.667, 0.333], [0.500, 0.667, 0.333], [0.750, 0.000, 0.239], [0.250, 0.601, 0.601], [0.250, 0.399, 0.000], [0.250, 0.000, 0.399], [0.750, 0.601, 0.000], [0.750, 0.000, 0.601], [0.750, 0.399, 0.399], [0.500, 0.000, 0.000], [0.000, 0.000, 0.000]]}

=====

{"formula": "FeSiMo", "functional": "PBEsol", "state": "optimized geometry", "sg": "P-6m2", "e_form_raw_ev_per_atom": -0.367, "cell": [[2.706, 0.000, 0.000], [0.000, 3.974, 0.000], [0.000, -1.987, 3.442]], "species": ["Fe", "Mo", "Si"], "frac_coords": [[0.500, 0.000, 0.000], [0.000, 0.667, 0.333], [0.500, 0.333, 0.667]]}

=====

{"formula": "InFeSi2", "functional": "PBEsol", "state": "optimized geometry", "sg": "I-4m2", "e_form_raw_ev_per_atom": 0.450, "cell": [[3.890, 0.000, 0.000], [0.000, 3.890, 0.000], [-1.945, -1.945, 3.919]], "species": ["In", "Si", "Si", "Fe"], "frac_coords": [[0.250, 0.750, 0.500], [0.750, 0.250, 0.500], [0.000, 0.000, 0.000], [0.500, 0.500, 0.000]]}

=====

{"formula": "AlReMo2", "functional": "PBEsol", "state": "optimized geometry", "sg": "Immm", "formation_energy_ev_per_atom": -0.146, "cell": [[3.111, 0.000, 0.000], [0.000, 4.275, 0.000], [-1.555, -2.137, 4.411]], "species": ["Al", "Mo", "Mo", "Re"], "frac_coords": [[0.000, 0.500, 0.000], [0.243, 0.243, 0.486], [0.757, 0.757, 0.514], [0.500, 0.000, 0.000]]}

=====

{"formula": "YCrHI2", "functional": "PBEsol", "state": "optimized geometry", "sg": "P4/mmm", "cell": [[-3.502, -0.795, 0.219], [0.270, -2.534, -4.876], [1.231, -4.730, 2.527]], "species": ["Y", "H", "I", "I", "Cr"], "frac_coords": [[0.500, 0.500, 0.500], [0.500, 0.000, 0.000], [0.000, 0.000, 0.500], [0.000, 0.500, 0.000], [0.000, 0.000, 0.000]]}

=====

{"formula": "Co8Re", "functional": "PBEsol", "state": "optimized geometry", "sg": "I4/mmm", "formation_energy_ev_per_atom": 0.052, "cell": [[3.499, 0.000, 0.000], [1.749, 5.220, 0.000], [1.749, 0.000, 5.220]], "species": ["Co", "Co", "Co", "Co", "Co", "Co", "Co", "Co", "Re"], "frac_coords": [[0.000, 0.336, 0.664], [0.336, 0.664, 0.664], [0.331, 0.337, 0.000], [0.669, 0.663, 0.000], [0.000, 0.664, 0.336], [0.331, 0.000, 0.337], [0.669, 0.000, 0.663], [0.664, 0.336, 0.336], [0.000, 0.000, 0.000]]}

=====

{"formula": "TiVO4", "functional": "PBEsol", "state": "optimized geometry", "sg": "I4_1md", "e_form_raw_ev_per_atom": -2.699, "cell": [[5.403, -0.060, 0.000], [-2.233, 4.920, 0.000], [-1.585, -2.430, 4.558]], "species": ["V", "V", "O", "O", "O", "O", "O", "O", "O", "O", "Ti", "Ti"], "frac_coords": [[0.987, 0.987, 0.000], [0.237, 0.737, 0.500], [0.012, 0.311, 0.299], [0.012, 0.714, 0.701], [0.561, 0.762, 0.799], [0.501, 0.803, 0.303], [0.053, 0.251, 0.803], [0.501, 0.198, 0.697], [0.964, 0.762, 0.201], [0.448, 0.251, 0.197], [0.737, 0.237, 0.500], [0.487, 0.487, 0.000]]}

=====

no.,theoretical density (g/cm³),VASP energy (Ry/atom)
1,13.47,-0.1761
2,11.33,-0.3884
3,8.07,-0.6757
4,6.35,-0.3976
5,11.47,-0.7633
6,6.03,-0.3609
7,11.46,-0.6105
8,4.49,-0.6755